This record from Alexandria describes a relaxed V2BO2 crystal. The functional is PBE+U.

Properties
VASP energy in hartree per atom: -0.24755
Space group: I4/mmm

a = 3.261 Å, b = 3.261 Å, c = 5.649 Å
α = 73.22°, β = 73.22°, γ = 90.00°
Atoms (fractional coordinates):
B 0.000 0.000 0.000
O 0.750 0.250 0.500
O 0.250 0.750 0.500
V 0.361 0.361 0.278
V 0.639 0.639 0.722